Entry 1:
Density functional theory data (PBE) for a geometry-optimized NbTeI structure.

## Properties
**SG**: Pm, No. 6
**Total magnetic moment**: 0.00 μB/atom
**Raw formation energy**: -0.46 eV per atom

a = 6.386 Å, b = 3.685 Å, c = 7.942 Å
α = 90.00°, β = 106.79°, γ = 90.00°
Sites, in units of the cell vectors:
Nb 0.000 0.000 0.000
Nb 0.482 0.500 0.999
Te 0.235 0.000 0.754
Te 0.411 0.000 0.245
I 0.736 0.500 0.758
I 0.910 0.500 0.242


Entry 2:
Density functional theory data (PBE) for a geometry-optimized LaCe2Th3P6 structure.

## Properties
**SG**: C2/m, No. 12
**Total magnetic moment**: 0.08 μB/atom
**DFT formation energy**: -1.551 eV/atom
**Density of states at the Fermi level**: 12.77 states/eV per cell

a = 7.188 Å, b = 7.188 Å, c = 7.185 Å
α = 99.60°, β = 99.60°, γ = 119.98°
Sites, in units of the cell vectors:
La 0.000 0.000 0.000
Ce 0.333 0.667 0.000
Ce 0.667 0.333 0.000
Th 0.165 0.835 0.500
Th 0.500 0.500 0.500
Th 0.835 0.165 0.500
P 0.084 0.423 0.252
P 0.256 0.256 0.750
P 0.423 0.084 0.252
P 0.577 0.916 0.748
P 0.744 0.744 0.250
P 0.916 0.577 0.748